# 1
# Ce3PmGe2, optimized geometry, DFT GGA-PBE
# Total DFT energy (no corrections), eV/atom: -5.805
# Calculated formation energy, eV per atom: -0.5068
# Magnetization, μB per formula unit: 1.24
data_Ce3PmGe2
_space_group_name_H-M_alt 'C 1 2/m 1'
_space_group_IT_number 12
_space_group_name_Hall '-C 2y'
_cell_length_a 17.393
_cell_length_b 4.229
_cell_length_c 8.827
_cell_angle_alpha 90.00
_cell_angle_beta 109.58
_cell_angle_gamma 90.00
loop_
_atom_site_label
_atom_site_fract_x
_atom_site_fract_y
_atom_site_fract_z
Ce1 0.068 0.000 0.134
Ce2 0.139 0.500 0.995
Ce3 0.202 0.500 0.422
Pm1 0.102 0.000 0.633
Ge1 0.020 0.500 0.335
Ge2 0.243 0.500 0.780



# 2
# CePm3Ge3, optimized geometry, DFT GGA-PBE
# Total DFT energy (no corrections), eV/atom: -5.350
# Calculated formation energy, eV per atom: -0.4870
# Magnetization, μB per formula unit: 0.66
data_CePm3Ge3
_space_group_name_H-M_alt 'C 1 2/m 1'
_space_group_IT_number 12
_space_group_name_Hall '-C 2y'
_cell_length_a 8.277
_cell_length_b 12.655
_cell_length_c 7.722
_cell_angle_alpha 90.00
_cell_angle_beta 91.18
_cell_angle_gamma 90.00
loop_
_atom_site_label
_atom_site_fract_x
_atom_site_fract_y
_atom_site_fract_z
Ce1 0.244 0.000 0.418
Pm1 0.000 0.276 0.500
Pm2 0.000 0.334 0.000
Pm3 0.132 0.000 0.872
Ge1 0.053 0.500 0.275
Ge2 0.169 0.170 0.198



# 3
# CePmGe2, optimized geometry, DFT GGA-PBE
# Total DFT energy (no corrections), eV/atom: -5.755
# Calculated formation energy, eV per atom: -0.7752
# Magnetization, μB per formula unit: 0.79
data_CePmGe2
_space_group_name_H-M_alt 'A m m 2'
_space_group_IT_number 38
_space_group_name_Hall 'A 2 -2'
_cell_length_a 4.063
_cell_length_b 4.444
_cell_length_c 11.003
_cell_angle_alpha 90.00
_cell_angle_beta 90.00
_cell_angle_gamma 90.00
loop_
_atom_site_label
_atom_site_fract_x
_atom_site_fract_y
_atom_site_fract_z
Ce1 0.000 0.000 0.000
Pm1 0.500 0.000 0.725
Ge1 0.000 0.000 0.280
Ge2 0.500 0.000 0.445



# 4
# Ce2PmGe3, optimized geometry, DFT GGA-PBE
# Total DFT energy (no corrections), eV/atom: -5.731
# Calculated formation energy, eV per atom: -0.6523
# Magnetization, μB per formula unit: 0.00
data_Ce2PmGe3
_space_group_name_H-M_alt 'I m m m'
_space_group_IT_number 71
_space_group_name_Hall '-I 2 2'
_cell_length_a 4.248
_cell_length_b 6.015
_cell_length_c 12.744
_cell_angle_alpha 90.00
_cell_angle_beta 90.00
_cell_angle_gamma 90.00
loop_
_atom_site_label
_atom_site_fract_x
_atom_site_fract_y
_atom_site_fract_z
Ce1 0.000 0.000 0.165
Pm1 0.000 0.000 0.500
Ge1 0.000 0.500 0.172
Ge2 0.000 0.500 0.500



# 5
# CePm2Ge, optimized geometry, DFT GGA-PBE
# Total DFT energy (no corrections), eV/atom: -5.108
# Calculated formation energy, eV per atom: -0.0952
# Magnetization, μB per formula unit: 0.79
data_CePm2Ge
_space_group_name_H-M_alt 'F m -3 m'
_space_group_IT_number 225
_space_group_name_Hall '-F 4 2 3'
_cell_length_a 7.510
_cell_length_b 7.510
_cell_length_c 7.510
_cell_angle_alpha 90.00
_cell_angle_beta 90.00
_cell_angle_gamma 90.00
loop_
_atom_site_label
_atom_site_fract_x
_atom_site_fract_y
_atom_site_fract_z
Ce1 0.000 0.000 0.000
Pm1 0.250 0.250 0.250
Ge1 0.000 0.000 0.500



# 6
# CePm2Ge, optimized geometry, DFT GGA-PBE
# Total DFT energy (no corrections), eV/atom: -5.352
# Calculated formation energy, eV per atom: -0.3386
# Magnetization, μB per formula unit: 0.00
data_CePm2Ge
_space_group_name_H-M_alt 'P 4/m m m'
_space_group_IT_number 123
_space_group_name_Hall '-P 4 2'
_cell_length_a 4.812
_cell_length_b 4.812
_cell_length_c 4.543
_cell_angle_alpha 90.00
_cell_angle_beta 90.00
_cell_angle_gamma 90.00
loop_
_atom_site_label
_atom_site_fract_x
_atom_site_fract_y
_atom_site_fract_z
Ce1 0.000 0.000 0.000
Pm1 0.000 0.500 0.500
Ge1 0.500 0.500 0.000



# 7
# CePm2Ge, optimized geometry, DFT GGA-PBE
# Total DFT energy (no corrections), eV/atom: -5.373
# Calculated formation energy, eV per atom: -0.3598
# Magnetization, μB per formula unit: 1.34
data_CePm2Ge
_space_group_name_H-M_alt 'C m c m'
_space_group_IT_number 63
_space_group_name_Hall '-C 2c 2'
_cell_length_a 4.107
_cell_length_b 12.011
_cell_length_c 9.498
_cell_angle_alpha 90.00
_cell_angle_beta 90.00
_cell_angle_gamma 90.00
loop_
_atom_site_label
_atom_site_fract_x
_atom_site_fract_y
_atom_site_fract_z
Ce1 0.000 0.066 0.250
Pm1 0.000 0.359 0.050
Ge1 0.000 0.247 0.750



# 8
# Ce2Pm5Ge4, optimized geometry, DFT GGA-PBE
# Total DFT energy (no corrections), eV/atom: -5.209
# Calculated formation energy, eV per atom: -0.2921
# Magnetization, μB per formula unit: 2.63
data_Ce2Pm5Ge4
_space_group_name_H-M_alt 'C 1 2/m 1'
_space_group_IT_number 12
_space_group_name_Hall '-C 2y'
_cell_length_a 25.829
_cell_length_b 3.572
_cell_length_c 7.051
_cell_angle_alpha 90.00
_cell_angle_beta 90.29
_cell_angle_gamma 90.00
loop_
_atom_site_label
_atom_site_fract_x
_atom_site_fract_y
_atom_site_fract_z
Ce1 0.093 0.000 0.194
Pm1 0.000 0.500 0.500
Pm2 0.132 0.000 0.686
Pm3 0.233 0.000 0.254
Ge1 0.024 0.000 0.845
Ge2 0.173 0.500 0.993